# DyMoF6

An optimized crystal structure of DyMoF6 (GGA+U, Alexandria).

Structure (POSCAR):
```
DyMoF6
1.0
6.1858 0.8290 -0.5084
0.4339 4.4214 2.1996
-0.4007 -0.2949 4.9323
Dy Mo F
1 1 6
Direct
0.5000 0.0207 0.0207 Dy
0.0000 0.0208 0.0208 Mo
0.8342 0.7402 0.3013 F
0.1658 0.3013 0.7402 F
0.2798 0.0210 0.3335 F
0.2798 0.7077 0.0209 F
0.7202 0.0209 0.7077 F
0.7202 0.3335 0.0210 F
```

Output
- energy (Ha/atom) = -0.22044
- theoretical density (g/cm³) = 4.56
- calculated volume (Å³/atom) = 16.9